CsKIrI2: relaxed, PBE.

Lattice parameters (Å, degrees): 7.033 7.033 7.229 90.00 90.00 90.00
Positions (direct):
1 Cs 0.000 0.000 0.000
2 K 0.000 0.000 0.500
3 Ir 0.500 0.500 0.500
4 I 0.000 0.500 0.000
5 I 0.500 0.000 0.000

E (hartree per atom): -0.0755
Formation energy from raw total energies (eV per atom): 0.729
Crystal system: tetragonal
Magnetization (μB per formula unit): 3.00